Computed, not measured: a relaxed Ti8GePb2 crystal at the PBE level of DFT.

POSCAR file:
```
Ti8GePb2
1.0
7.9198 -2.3981 0.0000
7.9198 2.3981 0.0000
-0.4588 0.0000 5.2147
Ti Ge Pb
8 1 2
Direct
0.0431 0.0431 0.2637 Ti
0.2351 0.2351 0.3436 Ti
0.3345 0.3345 0.8883 Ti
0.4157 0.4157 0.4531 Ti
0.5843 0.5843 0.5469 Ti
0.6655 0.6655 0.1117 Ti
0.7649 0.7649 0.6564 Ti
0.9569 0.9569 0.7363 Ti
0.5000 0.5000 0.0000 Ge
0.1500 0.1500 0.7993 Pb
0.8500 0.8500 0.2007 Pb
```

* symmetry: C2/m
* raw total energy: -6.98 eV/atom
* ΔH_f (0 K): -0.14 eV per atom